[1]
KVSe2: relaxed, PBE.

Properties
uncorrected formation energy	-883.2	meV/atom
space-group type	C2/c (15)
DOS at the Fermi energy	1.06	states/eV/f.u.
final energy	-20.7	eV per formula unit
M_tot	16.02	μB per cell

Cell lengths 7.870, 7.870, 15.363 Å; angles 97.44, 97.44, 90.01 degrees
Positions (direct):
K1 0.147 0.775 0.608
K2 0.225 0.343 0.889
K3 0.225 0.853 0.892
K4 0.343 0.225 0.389
K5 0.657 0.775 0.611
K6 0.775 0.147 0.108
K7 0.775 0.657 0.111
K8 0.853 0.225 0.392
V1 0.097 0.708 0.336
V2 0.291 0.429 0.164
V3 0.292 0.903 0.164
V4 0.429 0.291 0.664
V5 0.571 0.709 0.336
V6 0.708 0.097 0.836
V7 0.709 0.571 0.836
V8 0.903 0.292 0.664
Se1 0.054 0.430 0.249
Se2 0.055 0.945 0.250
Se3 0.144 0.270 0.578
Se4 0.268 0.641 0.063
Se5 0.270 0.144 0.078
Se6 0.359 0.732 0.437
Se7 0.430 0.054 0.749
Se8 0.430 0.570 0.750
Se9 0.570 0.430 0.250
Se10 0.570 0.946 0.251
Se11 0.641 0.268 0.563
Se12 0.730 0.856 0.922
Se13 0.732 0.359 0.937
Se14 0.856 0.730 0.422
Se15 0.945 0.055 0.750
Se16 0.946 0.570 0.751

[2]
SnBiS2Cl: relaxed, PBE.

Properties
uncorrected formation energy	-544.1	meV/atom
space-group type	P2_1/m (11)
relative energy among the computed polymorphs	0.0	meV/atom
final energy	-20.7	eV per formula unit
M_tot	0.00	μB per cell

Cell lengths 7.900, 4.059, 10.084 Å; angles 90.00, 104.92, 90.00 degrees
Positions (direct):
Sn1 0.232 0.250 0.036
Sn2 0.768 0.750 0.964
Bi1 0.267 0.750 0.451
Bi2 0.733 0.250 0.549
S1 0.095 0.750 0.142
S2 0.429 0.250 0.347
S3 0.571 0.750 0.653
S4 0.905 0.250 0.858
Cl1 0.171 0.250 0.622
Cl2 0.829 0.750 0.378

[3]
In2MoAs: relaxed, PBE.

Properties
calculated formation energy	121	meV/atom
space-group type	Amm2 (38)
DOS at the Fermi energy	1.70	states/eV/f.u.
final energy	-20.5	eV per formula unit
M_tot	0.00	μB per cell

Cell lengths 3.708, 4.129, 10.869 Å; angles 90.00, 90.00, 90.00 degrees
Positions (direct):
In1 0.000 0.000 0.000
In2 0.000 0.500 0.500
In3 0.500 0.000 0.308
In4 0.500 0.500 0.808
Mo1 0.000 0.000 0.732
Mo2 0.000 0.500 0.232
As1 0.500 0.000 0.573
As2 0.500 0.500 0.073

[4]
Tb5Ho2Th2: relaxed, PBE.

Properties
calculated formation energy	246	meV/atom
space-group type	Ima2 (46)
relative energy among the computed polymorphs	0.0	meV/atom
DOS at the Fermi energy	13.36	states/eV/f.u.
final energy	-44.9	eV per formula unit
M_tot	0.00	μB per cell

Cell lengths 10.057, 10.057, 10.057 Å; angles 85.14, 107.53, 141.57 degrees
Positions (direct):
Tb1 0.243 0.054 0.297
Tb2 0.243 0.446 0.689
Tb3 0.420 0.443 0.477
Tb4 0.464 0.046 0.132
Tb5 0.464 0.832 0.918
Tb6 0.757 0.554 0.311
Tb7 0.757 0.946 0.703
Tb8 0.914 0.332 0.868
Tb9 0.914 0.546 0.082
Tb10 0.966 0.943 0.523
Ho1 0.331 0.459 0.121
Ho2 0.331 0.710 0.372
Ho3 0.339 0.210 0.879
Ho4 0.339 0.959 0.628
Th1 0.803 0.303 0.500
Th2 0.803 0.803 0.000
Th3 0.859 0.612 0.747
Th4 0.864 0.112 0.253

- Number 4 is which compound?
  Tb5Ho2Th2